Record 1
Entry from Alexandria via LeMat-Bulk: a relaxed MnCo2RhN crystal (PBE).

CIF file:
```
data_MnCo2RhN
_symmetry_space_group_name_H-M 'P 1'
_symmetry_Int_Tables_number 1
_cell_length_a 3.794
_cell_length_b 3.794
_cell_length_c 3.726
_cell_angle_alpha 90.00
_cell_angle_beta 90.00
_cell_angle_gamma 90.00
loop_
_symmetry_equiv_pos_as_xyz
'x,y,z'
loop_
_atom_site_label
_atom_site_fract_x
_atom_site_fract_y
_atom_site_fract_z
Co1 0.500 0.000 0.000
N1 0.000 0.000 0.000
Rh1 0.500 0.500 0.500
Mn1 0.000 0.000 0.500
Co2 0.000 0.500 0.000
```

Electronic total energy in eV/atom: -7.752
Formation energy without anion corrections in kJ/mol of atoms: 5.7
Energy above the lowest structure with this stoichiometry in meV/atom: 37

---

Record 2
Entry from Alexandria via LeMat-Bulk: a relaxed CuMoAs crystal (PBE).

CIF file:
```
data_CuMoAs
_symmetry_space_group_name_H-M 'P 1'
_symmetry_Int_Tables_number 1
_cell_length_a 6.814
_cell_length_b 6.644
_cell_length_c 2.791
_cell_angle_alpha 81.47
_cell_angle_beta 74.63
_cell_angle_gamma 23.89
loop_
_symmetry_equiv_pos_as_xyz
'x,y,z'
loop_
_atom_site_label
_atom_site_fract_x
_atom_site_fract_y
_atom_site_fract_z
Cu1 0.324 0.324 0.676
As1 0.010 0.010 0.990
Mo1 0.666 0.666 0.334
```

Electronic total energy in eV/atom: -6.166
Energy above the lowest structure with this stoichiometry in meV/atom: 199
Formation energy from the elements in meV per atom: 360

---

Record 3
Entry from Alexandria via LeMat-Bulk: a relaxed ErMgTlRu crystal (PBE).

CIF file:
```
data_ErMgTlRu
_symmetry_space_group_name_H-M 'P 1'
_symmetry_Int_Tables_number 1
_cell_length_a 4.882
_cell_length_b 4.882
_cell_length_c 4.882
_cell_angle_alpha 60.00
_cell_angle_beta 60.00
_cell_angle_gamma 60.00
loop_
_symmetry_equiv_pos_as_xyz
'x,y,z'
loop_
_atom_site_label
_atom_site_fract_x
_atom_site_fract_y
_atom_site_fract_z
Mg1 0.000 0.000 0.000
Ru1 0.750 0.750 0.750
Tl1 0.250 0.250 0.250
Er1 0.500 0.500 0.500
```

Electronic total energy in eV/atom: -4.494
Formation energy from the elements in meV per atom: -44

---

Record 4
Entry from Alexandria via LeMat-Bulk: a relaxed Pr6Cd2Ru crystal (PBE).

CIF file:
```
data_Pr6Cd2Ru
_symmetry_space_group_name_H-M 'P 1'
_symmetry_Int_Tables_number 1
_cell_length_a 7.249
_cell_length_b 7.485
_cell_length_c 10.846
_cell_angle_alpha 90.00
_cell_angle_beta 89.77
_cell_angle_gamma 90.00
loop_
_symmetry_equiv_pos_as_xyz
'x,y,z'
loop_
_atom_site_label
_atom_site_fract_x
_atom_site_fract_y
_atom_site_fract_z
Pr1 0.700 0.189 0.961
Cd1 0.536 0.922 0.748
Pr2 0.088 0.993 0.750
Ru1 0.500 0.500 0.000
Pr3 0.912 0.007 0.250
Pr4 0.588 0.507 0.250
Pr5 0.200 0.311 0.461
Pr6 0.813 0.701 0.962
Cd2 0.964 0.422 0.752
Cd3 0.036 0.578 0.248
Pr7 0.313 0.799 0.462
Pr8 0.412 0.493 0.750
Ru2 0.000 0.000 0.500
Pr9 0.800 0.689 0.539
Cd4 0.464 0.078 0.252
Pr10 0.187 0.299 0.038
Pr11 0.687 0.201 0.538
Pr12 0.300 0.811 0.039
```

Electronic total energy in eV/atom: -4.552
Formation energy from the elements in meV per atom: -131

---

Record 5
Entry from Alexandria via LeMat-Bulk: a relaxed HoSi2Ir crystal (PBE).

CIF file:
```
data_HoSi2Ir
_symmetry_space_group_name_H-M 'P 1'
_symmetry_Int_Tables_number 1
_cell_length_a 4.160
_cell_length_b 8.621
_cell_length_c 9.239
_cell_angle_alpha 117.81
_cell_angle_beta 103.01
_cell_angle_gamma 90.00
loop_
_symmetry_equiv_pos_as_xyz
'x,y,z'
loop_
_atom_site_label
_atom_site_fract_x
_atom_site_fract_y
_atom_site_fract_z
Ho1 0.500 0.745 0.000
Ho2 0.295 0.295 0.590
Si1 0.077 0.077 0.153
Si2 0.702 0.354 0.403
Ir1 0.855 0.606 0.709
Ho3 0.705 0.705 0.410
Si3 0.298 0.951 0.597
Ir2 0.855 0.103 0.709
Si4 0.702 0.049 0.403
Ho4 0.500 0.255 0.000
Si5 0.075 0.575 0.149
Si6 0.923 0.923 0.847
Ir3 0.145 0.897 0.291
Si7 0.298 0.646 0.597
Ir4 0.145 0.394 0.291
Si8 0.925 0.425 0.851
```

Electronic total energy in eV/atom: -7.022
Formation energy without anion corrections in kJ/mol of atoms: -91.7

---

Record 6
Entry from Alexandria via LeMat-Bulk: a relaxed FePd crystal (PBE).

CIF file:
```
data_FePd
_symmetry_space_group_name_H-M 'P 1'
_symmetry_Int_Tables_number 1
_cell_length_a 5.068
_cell_length_b 5.068
_cell_length_c 5.068
_cell_angle_alpha 90.00
_cell_angle_beta 90.00
_cell_angle_gamma 90.00
loop_
_symmetry_equiv_pos_as_xyz
'x,y,z'
loop_
_atom_site_label
_atom_site_fract_x
_atom_site_fract_y
_atom_site_fract_z
Fe1 0.000 0.500 0.500
Pd1 0.000 0.500 0.000
Fe2 0.000 0.000 0.000
Fe3 0.500 0.000 0.500
Pd2 0.500 0.500 0.500
Pd3 0.500 0.000 0.000
Pd4 0.000 0.000 0.500
Fe4 0.500 0.500 0.000
```

Electronic total energy in eV/atom: -6.346
Formation energy from the elements in meV per atom: 481

---

Record 7
Entry from Alexandria via LeMat-Bulk: a relaxed Np2Ni4As3Pd crystal (PBE).

CIF file:
```
data_Np2Ni4As3Pd
_symmetry_space_group_name_H-M 'P 1'
_symmetry_Int_Tables_number 1
_cell_length_a 3.947
_cell_length_b 3.947
_cell_length_c 10.344
_cell_angle_alpha 90.00
_cell_angle_beta 90.00
_cell_angle_gamma 90.00
loop_
_symmetry_equiv_pos_as_xyz
'x,y,z'
loop_
_atom_site_label
_atom_site_fract_x
_atom_site_fract_y
_atom_site_fract_z
Ni1 0.000 0.000 0.000
Ni2 0.500 0.000 0.652
Pd1 0.500 0.500 0.500
As1 0.500 0.000 0.872
Ni3 0.000 0.500 0.348
Np1 0.000 0.500 0.748
As2 0.000 0.500 0.128
Np2 0.500 0.000 0.252
Ni4 0.500 0.500 0.000
As3 0.000 0.000 0.500
```

Electronic total energy in eV/atom: -7.240
Formation energy from the elements in meV per atom: -426

---

Record 8
Entry from Alexandria via LeMat-Bulk: a relaxed NaTbTl2 crystal (PBE).

CIF file:
```
data_NaTbTl2
_symmetry_space_group_name_H-M 'P 1'
_symmetry_Int_Tables_number 1
_cell_length_a 3.866
_cell_length_b 5.300
_cell_length_c 5.300
_cell_angle_alpha 90.00
_cell_angle_beta 90.00
_cell_angle_gamma 90.00
loop_
_symmetry_equiv_pos_as_xyz
'x,y,z'
loop_
_atom_site_label
_atom_site_fract_x
_atom_site_fract_y
_atom_site_fract_z
Tl1 0.000 0.500 0.000
Na1 0.500 0.000 0.000
Tb1 0.500 0.500 0.500
Tl2 0.000 0.000 0.500
```

Electronic total energy in eV/atom: -2.929
Formation energy from the elements in meV per atom: -259

---

Record 9
Entry from Alexandria via LeMat-Bulk: a relaxed YSc2Cr crystal (PBE).

CIF file:
```
data_YSc2Cr
_symmetry_space_group_name_H-M 'P 1'
_symmetry_Int_Tables_number 1
_cell_length_a 3.533
_cell_length_b 3.533
_cell_length_c 7.609
_cell_angle_alpha 90.00
_cell_angle_beta 90.00
_cell_angle_gamma 90.03
loop_
_symmetry_equiv_pos_as_xyz
'x,y,z'
loop_
_atom_site_label
_atom_site_fract_x
_atom_site_fract_y
_atom_site_fract_z
Sc1 0.000 0.000 0.963
Y1 0.000 0.000 0.533
Cr1 0.500 0.500 0.779
Sc2 0.500 0.500 0.225
```

Electronic total energy in eV/atom: -6.967
Energy above the lowest structure with this stoichiometry in meV/atom: 43
Formation energy from the elements in meV per atom: 220

---

Record 10
Entry from Alexandria via LeMat-Bulk: a relaxed CsU2RhO8 crystal (PBE).

CIF file:
```
data_CsU2RhO8
_symmetry_space_group_name_H-M 'P 1'
_symmetry_Int_Tables_number 1
_cell_length_a 5.607
_cell_length_b 5.608
_cell_length_c 7.554
_cell_angle_alpha 79.94
_cell_angle_beta 79.96
_cell_angle_gamma 73.55
loop_
_symmetry_equiv_pos_as_xyz
'x,y,z'
loop_
_atom_site_label
_atom_site_fract_x
_atom_site_fract_y
_atom_site_fract_z
U1 0.431 0.432 0.740
O1 0.628 0.628 0.542
U2 0.569 0.568 0.260
O2 0.263 0.808 0.166
Rh1 0.000 0.000 0.000
O3 0.372 0.372 0.458
O4 0.192 0.737 0.835
Cs1 0.000 0.000 0.500
O5 0.219 0.220 0.868
O6 0.781 0.780 0.132
O7 0.808 0.263 0.165
O8 0.737 0.192 0.834
```

Electronic total energy in eV/atom: -8.118
Formation energy without anion corrections in kJ/mol of atoms: -216.8

---

Record 11
Entry from Alexandria via LeMat-Bulk: a relaxed Ba9Se2Cl14 crystal (PBE).

CIF file:
```
data_Ba9Se2Cl14
_symmetry_space_group_name_H-M 'P 1'
_symmetry_Int_Tables_number 1
_cell_length_a 9.226
_cell_length_b 9.226
_cell_length_c 12.755
_cell_angle_alpha 90.00
_cell_angle_beta 90.00
_cell_angle_gamma 120.00
loop_
_symmetry_equiv_pos_as_xyz
'x,y,z'
loop_
_atom_site_label
_atom_site_fract_x
_atom_site_fract_y
_atom_site_fract_z
Cl1 0.962 0.312 0.092
Cl2 0.312 0.350 0.908
Ba1 0.042 0.341 0.341
Ba2 0.298 0.958 0.341
Cl3 0.000 0.000 0.255
Ba3 0.333 0.667 0.015
Cl4 0.372 0.320 0.409
Cl5 0.000 0.000 0.745
Cl6 0.688 0.650 0.092
Cl7 0.680 0.053 0.409
Ba4 0.702 0.042 0.659
Cl8 0.650 0.962 0.908
Se1 0.667 0.333 0.746
Ba5 0.659 0.702 0.341
Ba6 0.341 0.298 0.659
Cl9 0.038 0.688 0.908
Cl10 0.350 0.038 0.092
Cl11 0.053 0.372 0.591
Cl12 0.947 0.628 0.409
Cl13 0.320 0.947 0.591
Cl14 0.628 0.680 0.591
Se2 0.333 0.667 0.254
Ba7 0.667 0.333 0.985
Ba8 0.000 0.000 0.000
Ba9 0.958 0.659 0.659
```

Electronic total energy in eV/atom: -4.422
Formation energy without anion corrections in kJ/mol of atoms: -233.2

---

Record 12
Entry from Alexandria via LeMat-Bulk: a relaxed TlTeAsI2 crystal (PBE).

CIF file:
```
data_TlTeAsI2
_symmetry_space_group_name_H-M 'P 1'
_symmetry_Int_Tables_number 1
_cell_length_a 5.796
_cell_length_b 5.796
_cell_length_c 5.585
_cell_angle_alpha 90.00
_cell_angle_beta 90.00
_cell_angle_gamma 90.00
loop_
_symmetry_equiv_pos_as_xyz
'x,y,z'
loop_
_atom_site_label
_atom_site_fract_x
_atom_site_fract_y
_atom_site_fract_z
Te1 0.000 0.000 0.500
As1 0.000 0.000 0.000
Tl1 0.500 0.500 0.500
I1 0.500 0.000 0.000
I2 0.000 0.500 0.000
```

Electronic total energy in eV/atom: -2.710
Formation energy without anion corrections in kJ/mol of atoms: -5.7
Energy above the lowest structure with this stoichiometry in meV/atom: 0

---

For the records above, the corresponding volume values read 53.6; 47.9; 82.3; 588.5; 283.4; 130.2; 161.2; 108.6; 95.0; 222.3; 940.3; 187.6 Å³ per cell.
For the records above, the corresponding magnetization values read 2.65; 0.00; 0.00; 0.00; 0.00; 3.67; 6.91; 0.00; 3.15; 0.00; 0.35; 0.00 μB/f.u..